# 1
K2CeHgO4: relaxed, GGA-PBE.

As for the crystal system: monoclinic. As for the electronic total energy: -5.404 eV/atom. As for the calculated density: 5.754 Mg/m³.

It has space group P2/m (No. 10), with a = 6.326 Å, b = 3.541 Å, c = 6.725 Å, α = 90.00°, β = 112.32° and γ = 90.00°. The inequivalent atoms are K at (0.000, 0.000, 0.000), K at (0.500, 0.500, 0.000), Ce at (0.000, 0.500, 0.500), Hg at (0.500, 0.000, 0.500), O at (0.188, 0.000, 0.707) and O at (0.249, 0.500, 0.319).

***

# 2
K4Ce3HgS8: relaxed, GGA-PBE.

As for the crystal system: trigonal. As for the electronic total energy: -4.969 eV/atom. As for the calculated density: 3.881 Mg/m³.

It has space group R-3m (No. 166, hexagonal axes), with a = 8.3259 Å, b = 8.3259 Å, c = 22.1000 Å, α = 90.00°, β = 90.00° and γ = 120.00°. The inequivalent atoms are K at (0.0000, 0.0000, 0.0000), K at (0.0000, 0.5000, 0.0000), Ce at (0.0000, 0.5000, 0.5000), Hg at (0.0000, 0.0000, 0.5000), S at (0.0000, 0.0000, 0.2352) and S at (0.0088, 0.5044, 0.7648).

***

# 3
KCe2HgS5: relaxed, GGA-PBE.

As for the crystal system: tetragonal. As for the electronic total energy: -5.134 eV/atom. As for the calculated density: 4.963 Mg/m³.

It has space group I4/mcm (No. 140), with a = 7.857 Å, b = 7.857 Å, c = 14.748 Å, α = 90.00°, β = 90.00° and γ = 90.00°. The inequivalent atoms are K at (0.000, 0.000, 0.250), Ce at (0.163, 0.337, 0.000), Hg at (0.000, 0.500, 0.250), S at (0.000, 0.000, 0.000) and S at (0.147, 0.353, 0.382).

***

# 4
K3Ce3HgS8: relaxed, GGA-PBE.

As for the crystal system: monoclinic. As for the electronic total energy: -5.096 eV/atom. As for the calculated density: 3.795 Mg/m³.

It has space group C2/m (No. 12), with a = 13.841 Å, b = 8.532 Å, c = 8.663 Å, α = 90.00°, β = 121.68° and γ = 90.00°. The inequivalent atoms are K at (0.000, 0.000, 0.000), K at (0.250, 0.250, 0.000), Ce at (0.000, 0.500, 0.500), Ce at (0.250, 0.250, 0.500), Hg at (0.000, 0.000, 0.500), S at (0.023, 0.280, 0.289), S at (0.212, 0.000, 0.684) and S at (0.237, 0.500, 0.705).

***

# 5
K3Ce2HgSe6: relaxed, GGA-PBE.

As for the crystal system: monoclinic. As for the electronic total energy: -4.360 eV/atom. As for the calculated density: 4.824 Mg/m³.

It has space group C2/m (No. 12), with a = 7.436 Å, b = 12.886 Å, c = 8.083 Å, α = 90.00°, β = 107.70° and γ = 90.00°. The inequivalent atoms are K at (0.000, 0.000, 0.000), K at (0.000, 0.338, 0.000), Ce at (0.000, 0.167, 0.500), Hg at (0.000, 0.500, 0.500), Se at (0.230, 0.000, 0.707) and Se at (0.240, 0.330, 0.710).

***

# 6
K3Ce3HgSe8: relaxed, GGA-PBE.

As for the crystal system: monoclinic. As for the electronic total energy: -4.669 eV/atom. As for the calculated density: 4.655 Mg/m³.

It has space group C2/m (No. 12), with a = 14.346 Å, b = 8.861 Å, c = 8.998 Å, α = 90.00°, β = 121.29° and γ = 90.00°. The inequivalent atoms are K at (0.000, 0.000, 0.000), K at (0.250, 0.250, 0.000), Ce at (0.000, 0.500, 0.500), Ce at (0.250, 0.250, 0.500), Hg at (0.000, 0.000, 0.500), Se at (0.022, 0.280, 0.284), Se at (0.214, 0.000, 0.689) and Se at (0.238, 0.500, 0.708).

***

# 7
K2CeHgSe4: relaxed, GGA-PBE.

As for the crystal system: monoclinic. As for the electronic total energy: -3.929 eV/atom. As for the calculated density: 4.967 Mg/m³.

It has space group P2/m (No. 10), with a = 7.602 Å, b = 4.240 Å, c = 8.158 Å, α = 90.00°, β = 110.92° and γ = 90.00°. The inequivalent atoms are K at (0.000, 0.000, 0.000), K at (0.500, 0.500, 0.000), Ce at (0.000, 0.500, 0.500), Hg at (0.500, 0.000, 0.500), Se at (0.209, 0.000, 0.721) and Se at (0.266, 0.500, 0.312).

***

# 8
KCeSnHg: relaxed, GGA-PBE.

As for the crystal system: cubic. As for the formation energy from the elements: -0.23 eV/atom. As for the calculated density: 6.670 Mg/m³.

It has space group F-43m (No. 216), with a = 7.918 Å, b = 7.918 Å, c = 7.918 Å, α = 90.00°, β = 90.00° and γ = 90.00°. The inequivalent atoms are K at (0.000, 0.000, 0.000), Ce at (0.000, 0.000, 0.500), Sn at (0.250, 0.250, 0.750) and Hg at (0.250, 0.250, 0.250).

***

Look up the calculated density of the first one. 5.754 Mg/m³

***

The highest calculated density belongs to which entry? KCeSnHg

***

What is the formula in the eighth record? KCeSnHg